Below is a geometry-optimized CrFe2Cu structure, with properties calculated at the GGA-PBE level.

Unit cell a=2.4229 b=2.4229 c=7.9407 alpha=90.00 beta=90.00 gamma=90.00
Atoms (fractional coordinates):
Cr1 0.0000 0.0000 0.4991
Cu1 0.5000 0.5000 0.7524
Fe1 0.0000 0.0000 0.0003
Fe2 0.5000 0.5000 0.2483

Calculated values
Spin magnetization   4.496 Bohr magnetons per cell
Space-group type   P4mm
Formation enthalpy at 0 K   0.19 eV per atom



Below is a geometry-optimized Ta2V4B structure, with properties calculated at the GGA-PBE level.

Unit cell a=3.9048 b=3.9048 c=7.4972 alpha=74.91 beta=74.91 gamma=90.00
Atoms (fractional coordinates):
B1 0.0000 0.0000 0.0000
V1 0.1475 0.1475 0.7050
V2 0.8525 0.8525 0.2950
V3 0.0000 0.5000 0.0000
V4 0.5000 0.0000 0.0000
Ta1 0.3393 0.3393 0.3213
Ta2 0.6607 0.6607 0.6787

Calculated values
Spin magnetization   0.000 Bohr magnetons per cell
Space-group type   I4/mmm
Formation enthalpy at 0 K   0.40 eV per atom



Below is a geometry-optimized FeCoRh2 structure, with properties calculated at the GGA-PBE level.

Unit cell a=4.5933 b=4.5933 c=4.5195 alpha=78.07 beta=78.07 gamma=33.92
Atoms (fractional coordinates):
Co1 0.5054 0.5054 0.5044
Fe1 0.2436 0.2436 0.2491
Rh1 0.9971 0.9971 0.0113
Rh2 0.7538 0.7538 0.7352

Calculated values
Spin magnetization   5.084 Bohr magnetons per cell
Space-group type   Cm
Formation enthalpy at 0 K   0.03 eV per atom



Below is a geometry-optimized RbNiP structure, with properties calculated at the GGA-PBE level.

Unit cell a=7.8593 b=7.2744 c=7.8593 alpha=77.74 beta=52.63 gamma=102.26
Atoms (fractional coordinates):
Rb1 0.8747 0.1788 0.5521
Rb2 0.9459 0.3212 0.9809
Rb3 0.6979 0.6788 0.3753
Rb4 0.2691 0.8212 0.3041
Ni1 0.0984 0.8764 0.7700
Ni2 0.4800 0.3764 0.1516
Ni3 0.3535 0.1236 0.7780
Ni4 0.4720 0.6236 0.8965
P1 0.3368 0.2059 0.5044
P2 0.7456 0.7059 0.9132
P3 0.3809 0.2941 0.9603
P4 0.2897 0.7941 0.8691

Calculated values
Spin magnetization   0.000 Bohr magnetons per cell
Space-group type   Fdd2
Formation enthalpy at 0 K   -0.33 eV per atom



Taking the records one at a time from the top gives E values of -7.47; -9.15; -7.53; -4.38 eV/atom.